Entry from Alexandria: NaMgGe2S at its PBEsol-relaxed geometry (SCAN).

Cell lengths 4.9505, 4.9505, 5.0977 Å; angles 90.00, 90.00, 90.00 degrees
Sites, in units of the cell vectors:
Mg: 0.0000 0.0000 0.5000
S: 0.5000 0.5000 0.5000
Na: 0.0000 0.0000 0.0000
Ge: 0.5000 0.0000 0.0000
Ge: 0.0000 0.5000 0.0000

Spin magnetization   0.00 μB per formula unit
Space-group type   P4/mmm, No. 123
Uncorrected formation energy   5.37 eV/f.u.